## CoTcW2 (PBEsol)

Data for a relaxed structure of CoTcW2.

Results
Formation energy in eV/f.u.: 0.5
VASP energy in eV/atom: -11.53
Excess energy over the best structure of this formula in the dataset in meV/atom: 17

abc: 2.667 2.667 8.100
angles: 90.00 90.00 105.41
Fractional coordinates of all 4 atoms:
1 Co 0.500 0.500 0.500
2 W 0.000 0.000 0.733
3 Tc 0.500 0.500 0.000
4 W 0.000 0.000 0.267